Compound: TlAgF3
Source: Alexandria
Functional: PBE
Structure: optimized geometry

Cell lengths 3.756, 6.547, 10.892 Å; angles 90.00, 90.00, 90.00 degrees
Space group Amm2 (No. 38)
Inequivalent atoms, fractional coordinates:
Tl 0.000 0.000 0.000 [2 per cell]
Ag 0.500 0.000 0.661 [2 per cell]
F 0.000 0.000 0.792 [2 per cell]
F 0.500 0.215 0.034 [4 per cell]

## Properties
Calculated total energy: -35.39 eV/cell
Total moment: 0.00 μB per formula unit
Fermi-level density of states: 2.8 states/eV per cell
Formation energy from raw total energies: -1373 meV/atom